[1]
This record from Alexandria via LeMat-Bulk describes a relaxed structure of LiLa2Be. The functional is PBEsol.

It has space group Cmmm (No. 65), with a = 7.121 Å, b = 7.139 Å, c = 3.805 Å, α = 90.00°, β = 90.00° and γ = 90.00°. The distinct sites, in fractional coordinates, are Li at (0.000, 0.000, 0.000), La at (0.250, 0.250, 0.500) and Be at (0.000, 0.500, 0.000).

Its energy relative to the elements is 0.20 eV per atom. The density of states at the Fermi level comes out at 1.09 states/eV/atom. Its volume is 97 Å³/f.u.


[2]
This record from Alexandria via LeMat-Bulk describes a relaxed structure of LiLa2BeSi. The functional is PBEsol.

It has space group P4/mmm (No. 123), with a = 5.663 Å, b = 5.663 Å, c = 4.497 Å, α = 90.00°, β = 90.00° and γ = 90.00°. The distinct sites, in fractional coordinates, are Li at (0.000, 0.000, 0.000), La at (0.000, 0.500, 0.500), Be at (0.500, 0.500, 0.000) and Si at (0.000, 0.000, 0.500).

The density of states at the Fermi level comes out at 1.20 states/eV/atom. Its formation energy from raw total energies is 0.346 eV/atom. Its volume is 144 Å³/f.u.


[3]
This record from Alexandria via LeMat-Bulk describes a relaxed structure of La3LuBeS7. The functional is PBEsol.

It has space group P6_3 (No. 173), with a = 10.1143 Å, b = 10.1143 Å, c = 6.1063 Å, α = 90.00°, β = 90.00° and γ = 120.00°. The distinct sites, in fractional coordinates, are La at (0.1417, 0.7466, 0.0000), Lu at (0.0000, 0.0000, 0.2140), Be at (0.3333, 0.6667, 0.5910), S at (0.0862, 0.8463, 0.4633), S at (0.1117, 0.5199, 0.7199) and S at (0.3333, 0.6667, 0.2412).

Its formation energy from raw total energies is -1.933 eV/atom. Its volume is 270 Å³/f.u.


[4]
This record from Alexandria via LeMat-Bulk describes a relaxed structure of La3MgBe. The functional is PBEsol.

It has space group Pm-3m (No. 221), with a = 5.420 Å, b = 5.420 Å, c = 5.420 Å, α = 90.00°, β = 90.00° and γ = 90.00°. The distinct sites, in fractional coordinates, are La at (0.000, 0.000, 0.500), Mg at (0.500, 0.500, 0.500) and Be at (0.000, 0.000, 0.000).

Its energy relative to the elements is 0.34 eV per atom. The density of states at the Fermi level comes out at 2.20 states/eV/atom. Its volume is 159 Å³/f.u.


[5]
This record from Alexandria via LeMat-Bulk describes a relaxed structure of LaMgBe2. The functional is PBEsol.

It has space group P4mm (No. 99), with a = 2.968 Å, b = 2.968 Å, c = 7.868 Å, α = 90.00°, β = 90.00° and γ = 90.00°. The distinct sites, in fractional coordinates, are La at (0.000, 0.000, 0.000), Mg at (0.500, 0.500, 0.364), Be at (0.000, 0.000, 0.599) and Be at (0.500, 0.500, 0.711).

Its energy relative to the elements is 0.25 eV per atom. The density of states at the Fermi level comes out at 0.67 states/eV/atom. Its volume is 69 Å³/f.u.


[6]
This record from Alexandria via LeMat-Bulk describes a relaxed structure of LaMgBe2. The functional is PBEsol.

It has space group Imm2 (No. 44), with a = 4.049 Å, b = 5.062 Å, c = 7.433 Å, α = 90.00°, β = 90.00° and γ = 90.00°. The distinct sites, in fractional coordinates, are La at (0.000, 0.000, 0.000), Mg at (0.000, 0.500, 0.807), Be at (0.000, 0.000, 0.586) and Be at (0.000, 0.500, 0.196).

Its energy relative to the elements is 0.31 eV per atom. The density of states at the Fermi level comes out at 0.65 states/eV/atom. Its volume is 76 Å³/f.u.


[7]
This record from Alexandria via LeMat-Bulk describes a relaxed structure of LaMg2Be. The functional is PBEsol.

It has space group P4/mmm (No. 123), with a = 3.157 Å, b = 3.157 Å, c = 8.486 Å, α = 90.00°, β = 90.00° and γ = 90.00°. The distinct sites, in fractional coordinates, are La at (0.000, 0.000, 0.000), Mg at (0.500, 0.500, 0.317) and Be at (0.000, 0.000, 0.500).

Its energy relative to the elements is 0.17 eV per atom. The density of states at the Fermi level comes out at 0.73 states/eV/atom. Its volume is 85 Å³/f.u.


[8]
This record from Alexandria via LeMat-Bulk describes a relaxed structure of LaMg2BePb. The functional is PBEsol.

It has space group P4/mmm (No. 123), with a = 5.863 Å, b = 5.863 Å, c = 4.882 Å, α = 90.00°, β = 90.00° and γ = 90.00°. The distinct sites, in fractional coordinates, are La at (0.000, 0.000, 0.000), Mg at (0.000, 0.500, 0.000), Be at (0.000, 0.000, 0.500) and Pb at (0.500, 0.500, 0.500).

Its energy relative to the elements is 1.26 eV per atom. The density of states at the Fermi level comes out at 0.93 states/eV/atom. Its volume is 168 Å³/f.u.


[9]
This record from Alexandria via LeMat-Bulk describes a relaxed structure of RbLa2MgBe. The functional is PBEsol.

It has space group P4/mmm (No. 123), with a = 5.916 Å, b = 5.916 Å, c = 6.231 Å, α = 90.00°, β = 90.00° and γ = 90.00°. The distinct sites, in fractional coordinates, are Rb at (0.000, 0.000, 0.000), La at (0.000, 0.500, 0.500), Mg at (0.000, 0.000, 0.500) and Be at (0.500, 0.500, 0.000).

Its energy relative to the elements is 1.28 eV per atom. The density of states at the Fermi level comes out at 1.89 states/eV/atom. Its volume is 218 Å³/f.u.


[10]
This record from Alexandria via LeMat-Bulk describes a relaxed structure of La2MgBeSe. The functional is PBEsol.

It has space group P4/mmm (No. 123), with a = 5.709 Å, b = 5.709 Å, c = 4.283 Å, α = 90.00°, β = 90.00° and γ = 90.00°. The distinct sites, in fractional coordinates, are La at (0.000, 0.500, 0.000), Mg at (0.000, 0.000, 0.000), Be at (0.000, 0.000, 0.500) and Se at (0.500, 0.500, 0.500).

The density of states at the Fermi level comes out at 0.84 states/eV/atom. Its formation energy from raw total energies is 0.228 eV/atom. Its volume is 140 Å³/f.u.


[11]
This record from Alexandria via LeMat-Bulk describes a relaxed structure of LaMnBe. The functional is PBEsol.

It has space group I4mm (No. 107), with a = 3.194 Å, b = 3.194 Å, c = 9.390 Å, α = 90.00°, β = 90.00° and γ = 90.00°. The distinct sites, in fractional coordinates, are La at (0.000, 0.000, 0.000), Mn at (0.000, 0.000, 0.246) and Be at (0.000, 0.000, 0.713).

Its energy relative to the elements is 0.35 eV per atom. The density of states at the Fermi level comes out at 0.69 states/eV/atom. Its volume is 48 Å³/f.u.


[12]
This record from Alexandria via LeMat-Bulk describes a relaxed structure of LaMn2Be. The functional is PBEsol.

It has space group R-3m (No. 166, hexagonal axes), with a = 3.9090 Å, b = 3.9090 Å, c = 15.1097 Å, α = 90.00°, β = 90.00° and γ = 120.00°. The distinct sites, in fractional coordinates, are La at (0.0000, 0.0000, 0.0000), Mn at (0.0000, 0.0000, 0.2020) and Be at (0.0000, 0.0000, 0.5000).

Its energy relative to the elements is 0.34 eV per atom. The density of states at the Fermi level comes out at 1.17 states/eV/atom. Its volume is 67 Å³/f.u.


What is the formula in the sixth record? LaMgBe2